Density functional theory data (meta-GGA SCAN) for a PBEsol-optimized structure of Y2Si2Rh.

Results
Total magnetization (μB per formula unit): 0.0
Electronic total energy (eV per atom): -22.9621
Formation energy without anion corrections (eV/atom): -1.064
Volume (Å³/cell): 190.7

a = 4.170 Å, b = 5.640 Å, c = 8.985 Å
α = 82.49°, β = 76.58°, γ = 68.30°
Positions (direct):
Y 0.185 0.738 0.892
Y 0.003 0.669 0.324
Y 0.815 0.262 0.108
Y 0.997 0.331 0.676
Si 0.359 0.717 0.566
Si 0.510 0.857 0.122
Si 0.641 0.283 0.434
Si 0.490 0.143 0.878
Rh 0.274 0.077 0.376
Rh 0.726 0.923 0.624

=====

Density functional theory data (meta-GGA SCAN) for a PBEsol-optimized structure of Zn2SiRh.

Results
Total magnetization (μB per formula unit): 0.0
Electronic total energy (eV per atom): -17.9764
Formation energy without anion corrections (eV/atom): -0.272
Volume (Å³/cell): 53.7

a = 2.901 Å, b = 4.462 Å, c = 4.480 Å
α = 100.88°, β = 90.00°, γ = 108.98°
Positions (direct):
Zn 0.247 0.494 0.765
Zn 0.002 0.004 0.979
Si 0.759 0.518 0.290
Rh 0.492 0.984 0.467

=====

Density functional theory data (meta-GGA SCAN) for a PBEsol-optimized structure of Zn2SiRh.

Results
Total magnetization (μB per formula unit): 0.0
Electronic total energy (eV per atom): -17.5852
Formation energy without anion corrections (eV/atom): 0.119
Volume (Å³/cell): 56.8

a = 2.723 Å, b = 2.723 Å, c = 8.733 Å
α = 90.00°, β = 90.00°, γ = 118.81°
Positions (direct):
Rh 0.500 0.500 0.500
Zn 0.000 0.000 0.739
Zn 0.000 0.000 0.261
Si 0.500 0.500 0.000

=====

Density functional theory data (meta-GGA SCAN) for a PBEsol-optimized structure of Zr2SiRh.

Results
Total magnetization (μB per formula unit): 0.0
Electronic total energy (eV per atom): -27.2287
Formation energy without anion corrections (eV/atom): -0.933
Volume (Å³/cell): 71.2

a = 3.607 Å, b = 3.914 Å, c = 5.354 Å
α = 90.00°, β = 109.68°, γ = 90.00°
Positions (direct):
Zr 0.272 0.500 0.544
Zr 0.981 0.000 0.961
Si 0.545 0.500 0.091
Rh 0.703 0.000 0.406